(1)
{"formula": "La3BiRu", "functional": "PBE-GGA", "state": "optimized geometry", "lattice": [[7.0784, -5.9982, 0.0000], [7.0784, 5.9982, 0.0000], [-0.0576, 0.0000, 7.5429]], "species": ["La", "La", "La", "La", "La", "La", "La", "La", "La", "La", "La", "La", "Bi", "Bi", "Bi", "Bi", "Ru", "Ru", "Ru", "Ru"], "frac_coords": [[0.0355, 0.1950, 0.3794], [0.0801, 0.4241, 0.8065], [0.1950, 0.0355, 0.8794], [0.3035, 0.4662, 0.3765], [0.4241, 0.0801, 0.3065], [0.4662, 0.3035, 0.8765], [0.5338, 0.6965, 0.1235], [0.5759, 0.9199, 0.6935], [0.6965, 0.5338, 0.6235], [0.8050, 0.9645, 0.1206], [0.9199, 0.5759, 0.1935], [0.9645, 0.8050, 0.6206], [0.1648, 0.8352, 0.2500], [0.3361, 0.6639, 0.7500], [0.6639, 0.3361, 0.2500], [0.8352, 0.1648, 0.7500], [0.1957, 0.3041, 0.1034], [0.3041, 0.1957, 0.6034], [0.6959, 0.8043, 0.3966], [0.8043, 0.6959, 0.8966]], "polymorph_energy_mev_per_atom": 101, "m_tot_mub_per_fu": 0.0, "rho_g_cm3": 7.54, "formation_energy_kj_per_mol_fu": -236}

(2)
{"formula": "La3BiRu", "functional": "PBE-GGA", "state": "optimized geometry", "lattice": [[8.1383, 0.0000, 0.0000], [0.0000, 9.7472, 0.0000], [0.0000, 0.0000, 8.4468]], "species": ["La", "La", "La", "La", "La", "La", "La", "La", "La", "La", "La", "La", "Bi", "Bi", "Bi", "Bi", "Ru", "Ru", "Ru", "Ru"], "frac_coords": [[0.1356, 0.0661, 0.1493], [0.1356, 0.4339, 0.1493], [0.1600, 0.2500, 0.7369], [0.3400, 0.7500, 0.2369], [0.3644, 0.5661, 0.6493], [0.3644, 0.9339, 0.6493], [0.6356, 0.0661, 0.3507], [0.6356, 0.4339, 0.3507], [0.6600, 0.2500, 0.7631], [0.8400, 0.7500, 0.2631], [0.8644, 0.5661, 0.8507], [0.8644, 0.9339, 0.8507], [0.0000, 0.0000, 0.5000], [0.0000, 0.5000, 0.5000], [0.5000, 0.0000, 0.0000], [0.5000, 0.5000, 0.0000], [0.0562, 0.7500, 0.0139], [0.4438, 0.2500, 0.5139], [0.5562, 0.7500, 0.4861], [0.9438, 0.2500, 0.9861]], "polymorph_energy_mev_per_atom": 243, "m_tot_mub_per_fu": 0.0, "rho_g_cm3": 7.20, "formation_energy_kj_per_mol_fu": -167}

(3)
{"formula": "La3BiRu", "functional": "PBE-GGA", "state": "optimized geometry", "lattice": [[8.3560, -2.7763, 0.0000], [8.3560, 2.7763, 0.0000], [-0.0235, 0.0000, 6.9305]], "species": ["La", "La", "La", "La", "La", "La", "Bi", "Bi", "Ru", "Ru"], "frac_coords": [[0.0210, 0.0210, 0.2493], [0.1917, 0.1917, 0.8710], [0.3462, 0.3462, 0.4781], [0.6538, 0.6538, 0.5219], [0.8083, 0.8083, 0.1290], [0.9790, 0.9790, 0.7507], [0.3948, 0.3948, 0.9835], [0.6052, 0.6052, 0.0165], [0.1451, 0.1451, 0.4952], [0.8549, 0.8549, 0.5048]], "polymorph_energy_mev_per_atom": 128, "m_tot_mub_per_fu": 0.0, "rho_g_cm3": 7.51, "formation_energy_kj_per_mol_fu": -223}

(4)
{"formula": "La3BiRu", "functional": "PBE-GGA", "state": "optimized geometry", "lattice": [[0.0000, 7.1940, 7.1940], [7.1940, 0.0000, 7.1940], [7.1940, 7.1940, 0.0000]], "species": ["La", "La", "La", "La", "La", "La", "La", "La", "La", "La", "La", "La", "Bi", "Bi", "Bi", "Bi", "Ru", "Ru", "Ru", "Ru"], "frac_coords": [[0.0857, 0.0857, 0.6643], [0.0857, 0.6643, 0.0857], [0.0857, 0.6643, 0.6643], [0.3357, 0.3357, 0.9143], [0.3357, 0.9143, 0.3357], [0.3357, 0.9143, 0.9143], [0.6643, 0.0857, 0.0857], [0.6643, 0.0857, 0.6643], [0.6643, 0.6643, 0.0857], [0.9143, 0.3357, 0.3357], [0.9143, 0.3357, 0.9143], [0.9143, 0.9143, 0.3357], [0.0000, 0.5000, 0.5000], [0.5000, 0.0000, 0.5000], [0.5000, 0.5000, 0.0000], [0.5000, 0.5000, 0.5000], [0.0000, 0.0000, 0.0000], [0.0000, 0.0000, 0.5000], [0.0000, 0.5000, 0.0000], [0.5000, 0.0000, 0.0000]], "polymorph_energy_mev_per_atom": 223, "m_tot_mub_per_fu": 0.0, "rho_g_cm3": 6.48, "formation_energy_kj_per_mol_fu": -177}